(1)
VASP calculation (PBE) on ErHfGe2 after structural relaxation.

Geometry as POSCAR:
```
ErHfGe2
1.0
1.9561 1.1293 6.6612
-1.9561 1.1293 6.6612
0.0000 -2.2587 6.6612
Er Hf Ge
1 1 2
Direct
0.0000 0.0000 0.0000 Er
0.5000 0.5000 0.5000 Hf
0.2440 0.2440 0.2440 Ge
0.7560 0.7560 0.7560 Ge
```

## Properties
energy relative to the elements = -0.65 eV/atom
symmetry = R-3m, No. 166

(2)
VASP calculation (PBE) on CoSbAs2 after structural relaxation.

Geometry as POSCAR:
```
CoSbAs2
1.0
2.5320 -4.5731 0.0000
2.5320 4.5731 0.0000
0.0000 0.0000 3.1793
Co Sb As
1 1 2
Direct
0.0000 0.0000 0.0000 Co
0.5000 0.5000 0.0000 Sb
0.1960 0.8040 0.5000 As
0.8040 0.1960 0.5000 As
```

## Properties
formation energy without anion corrections = 0.011 eV per atom
symmetry = Cmmm, No. 65

(3)
VASP calculation (PBE) on CsLiSb2O after structural relaxation.

Geometry as POSCAR:
```
CsLiSb2O
1.0
6.2319 0.0000 0.0000
0.0000 6.2319 0.0000
0.0000 0.0000 6.2980
Cs Li Sb O
1 1 2 1
Direct
0.0000 0.0000 0.0000 Cs
0.0000 0.0000 0.5000 Li
0.0000 0.5000 0.0000 Sb
0.5000 0.0000 0.0000 Sb
0.5000 0.5000 0.5000 O
```

## Properties
formation energy without anion corrections = 1.653 eV per atom
symmetry = P4/mmm, No. 123

(4)
VASP calculation (PBE) on La6Ge2SbBr3 after structural relaxation.

Geometry as POSCAR:
```
La6Ge2SbBr3
1.0
9.6760 -2.2365 0.0000
9.6760 2.2365 0.0000
-1.8264 0.0000 8.6987
La Ge Sb Br
6 2 1 3
Direct
0.0108 0.0108 0.2558 La
0.3270 0.3270 0.4310 La
0.3310 0.3310 0.8906 La
0.6690 0.6690 0.1094 La
0.6730 0.6730 0.5690 La
0.9892 0.9892 0.7442 La
0.1678 0.1678 0.3349 Ge
0.8322 0.8322 0.6651 Ge
0.5000 0.5000 0.0000 Sb
0.1632 0.1632 0.8329 Br
0.5000 0.5000 0.5000 Br
0.8368 0.8368 0.1671 Br
```

## Properties
formation energy without anion corrections = -1.270 eV per atom
symmetry = C2/m, No. 12

(5)
VASP calculation (PBE) on LiCdSnHg3 after structural relaxation.

Geometry as POSCAR:
```
LiCdSnHg3
1.0
8.6999 0.0000 0.0000
0.0000 3.9255 0.0000
-3.6339 0.0000 8.3974
Li Cd Sn Hg
2 2 2 6
Direct
0.1402 0.2500 0.2834 Li
0.8598 0.7500 0.7166 Li
0.3902 0.7500 0.8696 Cd
0.6098 0.2500 0.1304 Cd
0.1242 0.2500 0.6198 Sn
0.8758 0.7500 0.3802 Sn
0.1019 0.2500 0.9428 Hg
0.3559 0.7500 0.5182 Hg
0.3609 0.7500 0.1934 Hg
0.6391 0.2500 0.8066 Hg
0.6441 0.2500 0.4818 Hg
0.8981 0.7500 0.0572 Hg
```

## Properties
energy relative to the elements = -0.09 eV/atom
symmetry = P2_1/m, No. 11

(6)
VASP calculation (PBE) on PuUTiO6 after structural relaxation.

Geometry as POSCAR:
```
PuUTiO6
1.0
5.4699 0.0000 0.0000
-2.7350 4.7371 0.0000
0.0000 0.0000 9.7587
Pu U Ti O
2 2 2 12
Direct
0.0000 0.0000 0.0000 Pu
0.0000 0.0000 0.5000 Pu
0.3333 0.6667 0.2500 U
0.6667 0.3333 0.7500 U
0.3333 0.6667 0.7500 Ti
0.6667 0.3333 0.2500 Ti
0.0200 0.3635 0.6385 O
0.0200 0.6565 0.8615 O
0.3435 0.3635 0.8615 O
0.3435 0.9800 0.6385 O
0.3635 0.0200 0.1385 O
0.3635 0.3435 0.3615 O
0.6365 0.6565 0.6385 O
0.6365 0.9800 0.8615 O
0.6565 0.0200 0.3615 O
0.6565 0.6365 0.1385 O
0.9800 0.3435 0.1385 O
0.9800 0.6365 0.3615 O
```

## Properties
formation energy without anion corrections = -3.087 eV per atom
symmetry = P-31c, No. 163

(7)
VASP calculation (PBE) on CaTlIr2 after structural relaxation.

Geometry as POSCAR:
```
CaTlIr2
1.0
0.0000 3.3645 3.3645
3.3645 0.0000 3.3645
3.3645 3.3645 0.0000
Ca Tl Ir
1 1 2
Direct
0.0000 0.0000 0.0000 Ca
0.7500 0.7500 0.7500 Tl
0.2500 0.2500 0.2500 Ir
0.5000 0.5000 0.5000 Ir
```

## Properties
energy relative to the elements = 0.31 eV/atom
symmetry = F-43m, No. 216

(8)
VASP calculation (PBE) on SmGaAg2O4 after structural relaxation.

Geometry as POSCAR:
```
SmGaAg2O4
1.0
5.7174 0.0000 0.0000
0.0000 3.3701 0.0000
-2.4560 0.0000 5.7431
Sm Ga Ag O
1 1 2 4
Direct
0.0000 0.0000 0.0000 Sm
0.5000 0.5000 0.0000 Ga
0.0000 0.5000 0.5000 Ag
0.5000 0.0000 0.5000 Ag
0.2740 0.0000 0.7993 O
0.2891 0.5000 0.1798 O
0.7109 0.5000 0.8202 O
0.7260 0.0000 0.2007 O
```

## Properties
formation energy without anion corrections = -1.466 eV per atom
symmetry = P2/m, No. 10

| no. | total magnetization (μB per atom) | calculated total energy (eV per atom) |
| --- | --- | --- |
| 1 | 0.000 | -6.590 |
| 2 | 0.000 | -5.121 |
| 3 | 0.165 | -1.541 |
| 4 | 0.000 | -5.265 |
| 5 | 0.000 | -1.378 |
| 6 | 0.667 | -10.117 |
| 7 | 0.131 | -5.209 |
| 8 | 0.000 | -5.626 |